Record 1
Compound: BaSrBi2
Source: Alexandria
Functional: GGA-PBE
Structure: relaxed

Cell lengths 4.006, 4.006, 9.375 Å; angles 90.00, 90.00, 90.00 degrees
Fractional positions:
Ba  0.000  0.000  0.000
Sr  0.000  0.000  0.500
Bi  0.500  0.500  0.261
Bi  0.500  0.500  0.739

Values from the calculation:
- E above lowest polymorph: 0 meV/atom
- Space-group type: P4/mmm (123)
- ΔE_f: -766 meV/atom


Record 2
Compound: Ba2SrBi
Source: Alexandria
Functional: GGA-PBE
Structure: relaxed

Cell lengths 4.176, 4.176, 42.473 Å; angles 90.00, 90.00, 120.00 degrees
Fractional positions:
Ba  0.000  0.000  0.081
Ba  0.000  0.000  0.919
Ba  0.333  0.667  0.585
Ba  0.333  0.667  0.748
Ba  0.667  0.333  0.252
Ba  0.667  0.333  0.415
Sr  0.000  0.000  0.500
Sr  0.333  0.667  0.167
Sr  0.667  0.333  0.833
Bi  0.000  0.000  0.000
Bi  0.333  0.667  0.667
Bi  0.667  0.333  0.333

Values from the calculation:
- Space-group type: R-3m (166)
- ΔE_f: 90 meV/atom


Record 3
Compound: BaSrBi
Source: Alexandria
Functional: GGA-PBE
Structure: relaxed

Cell lengths 4.437, 4.437, 14.004 Å; angles 90.00, 90.00, 90.00 degrees
Fractional positions:
Ba  0.000  0.000  0.000
Ba  0.500  0.500  0.500
Sr  0.000  0.000  0.747
Sr  0.500  0.500  0.247
Bi  0.000  0.000  0.361
Bi  0.500  0.500  0.861

Values from the calculation:
- E above lowest polymorph: 167 meV/atom
- Space-group type: I4mm (107)
- ΔE_f: -578 meV/atom


Record 4
Compound: BaSr2Bi2
Source: Alexandria
Functional: GGA-PBE
Structure: relaxed

Cell lengths 6.330, 6.330, 11.525 Å; angles 90.00, 90.00, 90.00 degrees
Fractional positions:
Ba  0.000  0.000  0.000
Ba  0.500  0.500  0.500
Sr  0.000  0.000  0.329
Sr  0.000  0.000  0.671
Sr  0.500  0.500  0.171
Sr  0.500  0.500  0.829
Bi  0.000  0.500  0.250
Bi  0.000  0.500  0.750
Bi  0.500  0.000  0.250
Bi  0.500  0.000  0.750

Values from the calculation:
- E above lowest polymorph: 361 meV/atom
- Space-group type: I4/mmm (139)
- ΔE_f: -544 meV/atom


Record 5
Compound: BaSr3Bi3
Source: Alexandria
Functional: GGA-PBE
Structure: relaxed

Cell lengths 9.074, 9.074, 9.074 Å; angles 69.13, 69.13, 69.13 degrees
Fractional positions:
Ba  0.166  0.166  0.166
Ba  0.834  0.834  0.834
Sr  0.120  0.702  0.401
Sr  0.298  0.599  0.880
Sr  0.401  0.120  0.702
Sr  0.599  0.880  0.298
Sr  0.702  0.401  0.120
Sr  0.880  0.298  0.599
Bi  0.056  0.430  0.785
Bi  0.215  0.944  0.570
Bi  0.430  0.785  0.056
Bi  0.570  0.215  0.944
Bi  0.785  0.056  0.430
Bi  0.944  0.570  0.215

Values from the calculation:
- Space-group type: R-3 (148)
- ΔE_f: -803 meV/atom


Record 6
Compound: Ba3Sr2Bi3
Source: Alexandria
Functional: GGA-PBE
Structure: relaxed

Cell lengths 10.134, 10.134, 7.721 Å; angles 90.00, 90.00, 120.00 degrees
Fractional positions:
Ba  0.000  0.254  0.250
Ba  0.000  0.746  0.750
Ba  0.254  0.000  0.250
Ba  0.254  0.254  0.750
Ba  0.746  0.000  0.750
Ba  0.746  0.746  0.250
Sr  0.333  0.667  0.000
Sr  0.333  0.667  0.500
Sr  0.667  0.333  0.000
Sr  0.667  0.333  0.500
Bi  0.000  0.394  0.750
Bi  0.000  0.606  0.250
Bi  0.394  0.000  0.750
Bi  0.394  0.394  0.250
Bi  0.606  0.000  0.250
Bi  0.606  0.606  0.750

Values from the calculation:
- Space-group type: P6_3/mcm (193)
- ΔE_f: -887 meV/atom


Record 7
Compound: BaSrBi2
Source: Alexandria
Functional: GGA-PBE
Structure: relaxed

Cell lengths 4.514, 4.514, 28.727 Å; angles 90.00, 90.00, 120.00 degrees
Fractional positions:
Ba  0.000  0.000  0.000
Ba  0.333  0.667  0.667
Ba  0.667  0.333  0.333
Sr  0.000  0.000  0.500
Sr  0.333  0.667  0.167
Sr  0.667  0.333  0.833
Bi  0.000  0.000  0.247
Bi  0.000  0.000  0.753
Bi  0.333  0.667  0.420
Bi  0.333  0.667  0.913
Bi  0.667  0.333  0.087
Bi  0.667  0.333  0.580

Values from the calculation:
- E above lowest polymorph: 141 meV/atom
- Space-group type: R-3m (166)
- ΔE_f: -626 meV/atom


Record 8
Compound: BaSrBi
Source: Alexandria
Functional: GGA-PBE
Structure: relaxed

Cell lengths 9.548, 9.548, 12.300 Å; angles 93.75, 93.75, 30.75 degrees
Fractional positions:
Ba  0.046  0.046  0.369
Ba  0.413  0.413  0.137
Ba  0.587  0.587  0.863
Ba  0.954  0.954  0.631
Sr  0.194  0.194  0.098
Sr  0.241  0.241  0.641
Sr  0.759  0.759  0.359
Sr  0.806  0.806  0.902
Bi  0.376  0.376  0.425
Bi  0.401  0.401  0.817
Bi  0.599  0.599  0.183
Bi  0.624  0.624  0.575

Values from the calculation:
- E above lowest polymorph: 85 meV/atom
- Space-group type: C2/m (12)
- ΔE_f: -660 meV/atom


Record 9
Compound: BaSr3Bi2
Source: Alexandria
Functional: GGA-PBE
Structure: relaxed

Cell lengths 10.065, 10.065, 10.065 Å; angles 131.87, 72.10, 129.79 degrees
Fractional positions:
Ba  0.000  0.000  0.000
Ba  0.500  0.500  0.000
Sr  0.023  0.250  0.773
Sr  0.250  0.750  0.500
Sr  0.477  0.250  0.227
Sr  0.523  0.750  0.773
Sr  0.750  0.250  0.500
Sr  0.977  0.750  0.227
Bi  0.142  0.691  0.834
Bi  0.358  0.191  0.549
Bi  0.642  0.809  0.451
Bi  0.858  0.309  0.166

Values from the calculation:
- Space-group type: Ibam (72)
- ΔE_f: -636 meV/atom


Record 10
Compound: BaSr2Bi2
Source: Alexandria
Functional: GGA-PBE
Structure: relaxed

Cell lengths 5.581, 5.581, 8.406 Å; angles 90.00, 90.00, 120.00 degrees
Fractional positions:
Ba  0.000  0.000  0.000
Sr  0.333  0.667  0.349
Sr  0.667  0.333  0.651
Bi  0.333  0.667  0.768
Bi  0.667  0.333  0.232

Values from the calculation:
- E above lowest polymorph: 0 meV/atom
- Space-group type: P-3m1 (164)
- ΔE_f: -905 meV/atom


Record 11
Compound: BaSrBi4
Source: Alexandria
Functional: GGA-PBE
Structure: relaxed

Cell lengths 6.779, 6.779, 6.779 Å; angles 60.00, 60.00, 60.00 degrees
Fractional positions:
Ba  0.000  0.000  0.000
Sr  0.250  0.250  0.250
Bi  0.126  0.625  0.625
Bi  0.625  0.126  0.625
Bi  0.625  0.625  0.126
Bi  0.625  0.625  0.625

Values from the calculation:
- E above lowest polymorph: 23 meV/atom
- Space-group type: F-43m (216)
- ΔE_f: -493 meV/atom


Record 12
Compound: Ba2SrBi
Source: Alexandria
Functional: GGA-PBE
Structure: relaxed

Cell lengths 5.693, 5.693, 5.466 Å; angles 90.00, 90.00, 90.00 degrees
Fractional positions:
Ba  0.000  0.500  0.000
Ba  0.500  0.000  0.000
Sr  0.000  0.000  0.500
Bi  0.500  0.500  0.500

Values from the calculation:
- Space-group type: P4/mmm (123)
- ΔE_f: -437 meV/atom


Calculated E_tot, -3.608; -2.262; -3.073; -3.153; -3.462; -3.484; -3.467; -3.155; -3.091; -3.515; -3.681; -2.789 eV per atom (same order as the records).